# LiYErSn

A relaxed structure of LiYErSn (PBE-GGA, the Alexandria database).

abc: 7.346 7.346 7.346
angles: 90.00 90.00 90.00
Space group F-43m (No. 216)
Asymmetric unit:
Li  0.000  0.000  0.000 x4
Y  0.250  0.250  0.250 x4
Er  0.250  0.250  0.750 x4
Sn  0.000  0.000  0.500 x4

Summary:
- spin magnetization (μB/cell) = 0.00
- calculated volume (Å³/cell) = 396.5
- ΔE_f (kJ per mole of atoms) = -40